No. 1
# PBE LaPr5Ho3, optimized geometry
# Energy of formation (meV/atom): 263
# Size of the total moment (μB/atom): 0.00
# Total energy (eV/atom): -4.47
data_LaPr5Ho3
_chemical_formula_sum 'La4 Pr20 Ho12'
_space_group_name_H-M_alt 'I 4/m c m'
_space_group_IT_number 140
_space_group_name_Hall '-I 4 2c'
_cell_length_a 8.6996
_cell_length_b 8.6996
_cell_length_c 16.6294
_cell_angle_alpha 90.00
_cell_angle_beta 90.00
_cell_angle_gamma 90.00
loop_
_atom_site_label
_atom_site_fract_x
_atom_site_fract_y
_atom_site_fract_z
La1 0.0000 0.5000 0.2500
Pr1 0.0000 0.0000 0.0000
Pr2 0.1962 0.3038 0.1390
Ho1 0.0000 0.0000 0.2500
Ho2 0.1233 0.3767 0.5000

---

No. 2
# PBE LaPr3Ho4, optimized geometry
# Energy of formation (meV/atom): 33
# Size of the total moment (μB/atom): 0.00
# Total energy (eV/atom): -4.66
data_LaPr3Ho4
_chemical_formula_sum 'La2 Pr6 Ho8'
_space_group_name_H-M_alt 'P m n 21'
_space_group_IT_number 31
_space_group_name_Hall 'P 2ac -2'
_cell_length_a 11.6715
_cell_length_b 7.3539
_cell_length_c 6.3335
_cell_angle_alpha 90.00
_cell_angle_beta 90.00
_cell_angle_gamma 90.00
loop_
_atom_site_label
_atom_site_fract_x
_atom_site_fract_y
_atom_site_fract_z
La1 0.0000 0.1270 0.0000
Pr1 0.0000 0.8709 0.5010
Pr2 0.2496 0.1299 0.3378
Ho1 0.0000 0.3811 0.5028
Ho2 0.0000 0.6195 0.0031
Ho3 0.2504 0.3801 0.8350

---

No. 3
# PBE LaPr8Ho5, optimized geometry
# Energy of formation (meV/atom): 158
# Size of the total moment (μB/atom): 0.00
# Total energy (eV/atom): -4.56
data_LaPr8Ho5
_chemical_formula_sum 'La1 Pr8 Ho5'
_space_group_name_H-M_alt 'P 1'
_space_group_IT_number 1
_space_group_name_Hall 'P 1'
_cell_length_a 8.6541
_cell_length_b 8.6659
_cell_length_c 8.7233
_cell_angle_alpha 112.91
_cell_angle_beta 98.89
_cell_angle_gamma 116.69
loop_
_atom_site_label
_atom_site_fract_x
_atom_site_fract_y
_atom_site_fract_z
La1 0.0000 0.0000 0.0000
Pr1 0.3319 0.0369 0.7113
Pr2 0.3682 0.2765 0.3732
Pr3 0.5158 0.7208 0.7832
Pr4 0.5396 0.9415 0.4116
Pr5 0.6515 0.2190 0.1696
Pr6 0.8037 0.7372 0.5352
Pr7 0.9201 0.2902 0.9207
Pr8 0.9492 0.7396 0.2163
Ho1 0.0648 0.2352 0.5865
Ho2 0.1413 0.5270 0.3912
Ho3 0.2079 0.7376 0.9450
Ho4 0.4203 0.4814 0.0597
Ho5 0.7256 0.4578 0.7422

---

No. 4
# PBE La2Pr15Ho2, optimized geometry
# Energy of formation (meV/atom): 229
# Size of the total moment (μB/atom): 0.00
# Total energy (eV/atom): -4.55
data_La2Pr15Ho2
_chemical_formula_sum 'La6 Pr45 Ho6'
_space_group_name_H-M_alt 'R -3 m'
_space_group_IT_number 166
_space_group_name_Hall '-R 3 2"'
_cell_length_a 11.5596
_cell_length_b 11.5596
_cell_length_c 18.2849
_cell_angle_alpha 90.00
_cell_angle_beta 90.00
_cell_angle_gamma 120.00
loop_
_atom_site_label
_atom_site_fract_x
_atom_site_fract_y
_atom_site_fract_z
La1 0.0000 0.0000 0.1797
Pr1 0.0000 0.2936 0.5000
Pr2 0.0000 0.5000 0.0000
Pr3 0.0150 0.5075 0.6366
Ho1 0.0000 0.0000 0.4071

---

No. 5
# PBE La4PrHo3, optimized geometry
# Energy of formation (meV/atom): 33
# Size of the total moment (μB/atom): 0.00
# Total energy (eV/atom): -4.74
data_La4PrHo3
_chemical_formula_sum 'La8 Pr2 Ho6'
_space_group_name_H-M_alt 'P m n 21'
_space_group_IT_number 31
_space_group_name_Hall 'P 2ac -2'
_cell_length_a 11.7743
_cell_length_b 7.3806
_cell_length_c 6.4121
_cell_angle_alpha 90.00
_cell_angle_beta 90.00
_cell_angle_gamma 90.00
loop_
_atom_site_label
_atom_site_fract_x
_atom_site_fract_y
_atom_site_fract_z
La1 0.0000 0.1288 0.0000
La2 0.0000 0.8692 0.5208
La3 0.2421 0.1239 0.3377
Pr1 0.0000 0.6265 0.0088
Ho1 0.0000 0.3808 0.5074
Ho2 0.2499 0.3803 0.8387

---

No. 6
# PBE La4Pr4Ho, optimized geometry
# Energy of formation (meV/atom): 16
# Size of the total moment (μB/atom): 0.00
# Total energy (eV/atom): -4.81
data_La4Pr4Ho
_chemical_formula_sum 'La8 Pr8 Ho2'
_space_group_name_H-M_alt 'I 4/m m m'
_space_group_IT_number 139
_space_group_name_Hall '-I 4 2'
_cell_length_a 11.0805
_cell_length_b 11.0805
_cell_length_c 5.2682
_cell_angle_alpha 90.00
_cell_angle_beta 90.00
_cell_angle_gamma 90.00
loop_
_atom_site_label
_atom_site_fract_x
_atom_site_fract_y
_atom_site_fract_z
La1 0.1658 0.1658 0.0000
Pr1 0.0000 0.3322 0.5000
Ho1 0.0000 0.0000 0.5000

---

No. 7
# PBE La3PrHo2, optimized geometry
# Energy of formation (meV/atom): 136
# Size of the total moment (μB/atom): 0.00
# Total energy (eV/atom): -4.65
data_La3PrHo2
_chemical_formula_sum 'La12 Pr4 Ho8'
_space_group_name_H-M_alt 'C 1 2/c 1'
_space_group_IT_number 15
_space_group_name_Hall '-C 2yc'
_cell_length_a 19.1694
_cell_length_b 6.6154
_cell_length_c 7.2970
_cell_angle_alpha 90.00
_cell_angle_beta 112.33
_cell_angle_gamma 90.00
loop_
_atom_site_label
_atom_site_fract_x
_atom_site_fract_y
_atom_site_fract_z
La1 0.0000 0.2346 0.2500
La2 0.1793 0.0058 0.9298
Pr1 0.0000 0.2641 0.7500
Ho1 0.1470 0.5000 0.1470

---

No. 8
# PBE La3Pr2Ho8, optimized geometry
# Energy of formation (meV/atom): 255
# Size of the total moment (μB/atom): 0.00
# Total energy (eV/atom): -4.43
data_La3Pr2Ho8
_chemical_formula_sum 'La6 Pr4 Ho16'
_space_group_name_H-M_alt 'C 1 2/m 1'
_space_group_IT_number 12
_space_group_name_Hall '-C 2y'
_cell_length_a 20.6589
_cell_length_b 7.7313
_cell_length_c 5.6451
_cell_angle_alpha 90.00
_cell_angle_beta 90.03
_cell_angle_gamma 90.00
loop_
_atom_site_label
_atom_site_fract_x
_atom_site_fract_y
_atom_site_fract_z
La1 0.0000 0.0000 0.0000
La2 0.0000 0.3003 0.5000
Pr1 0.2412 0.0000 0.9991
Ho1 0.1084 0.2906 0.0002
Ho2 0.1328 0.0000 0.4996
Ho3 0.1659 0.5000 0.5006

---

No. 9
# PBE LaPr8Ho2, optimized geometry
# Energy of formation (meV/atom): 103
# Size of the total moment (μB/atom): 0.00
# Total energy (eV/atom): -4.65
data_LaPr8Ho2
_chemical_formula_sum 'La2 Pr16 Ho4'
_space_group_name_H-M_alt 'I m m m'
_space_group_IT_number 71
_space_group_name_Hall '-I 2 2'
_cell_length_a 5.7398
_cell_length_b 8.4617
_cell_length_c 16.2214
_cell_angle_alpha 90.00
_cell_angle_beta 90.00
_cell_angle_gamma 90.00
loop_
_atom_site_label
_atom_site_fract_x
_atom_site_fract_y
_atom_site_fract_z
La1 0.0000 0.0000 0.0000
Pr1 0.0000 0.2052 0.5000
Pr2 0.0000 0.2964 0.1400
Pr3 0.0000 0.5000 0.3376
Ho1 0.0000 0.0000 0.2999

---

No. 10
# PBE La5Pr2Ho2, optimized geometry
# Energy of formation (meV/atom): 139
# Size of the total moment (μB/atom): 0.00
# Total energy (eV/atom): -4.68
data_La5Pr2Ho2
_chemical_formula_sum 'La20 Pr8 Ho8'
_space_group_name_H-M_alt 'I m a 2'
_space_group_IT_number 46
_space_group_name_Hall 'I 2 -2a'
_cell_length_a 15.3526
_cell_length_b 13.1660
_cell_length_c 6.3258
_cell_angle_alpha 90.00
_cell_angle_beta 90.00
_cell_angle_gamma 90.00
loop_
_atom_site_label
_atom_site_fract_x
_atom_site_fract_y
_atom_site_fract_z
La1 0.0488 0.1975 0.0000
La2 0.1444 0.6852 0.8517
La3 0.2500 0.1692 0.7637
Pr1 0.0000 0.0000 0.4277
Pr2 0.2500 0.0603 0.2912
Ho1 0.1364 0.5519 0.3574

---

No. 11
# PBE La4PrHo7, optimized geometry
# Energy of formation (meV/atom): 242
# Size of the total moment (μB/atom): 0.00
# Total energy (eV/atom): -4.47
data_La4PrHo7
_chemical_formula_sum 'La8 Pr2 Ho14'
_space_group_name_H-M_alt 'C 1 2/m 1'
_space_group_IT_number 12
_space_group_name_Hall '-C 2y'
_cell_length_a 12.2060
_cell_length_b 5.9715
_cell_length_c 12.9760
_cell_angle_alpha 90.00
_cell_angle_beta 117.79
_cell_angle_gamma 90.00
loop_
_atom_site_label
_atom_site_fract_x
_atom_site_fract_y
_atom_site_fract_z
La1 0.1336 0.0000 0.2771
La2 0.2191 0.5000 0.1633
Pr1 0.0000 0.5000 0.5000
Ho1 0.0000 0.0000 0.5000
Ho2 0.0710 0.5000 0.8126
Ho3 0.1332 0.0000 0.9945
Ho4 0.2108 0.5000 0.4237

---

No. 12
# PBE La9Pr4Ho, optimized geometry
# Energy of formation (meV/atom): 140
# Size of the total moment (μB/atom): 0.00
# Total energy (eV/atom): -4.72
data_La9Pr4Ho
_chemical_formula_sum 'La18 Pr8 Ho2'
_space_group_name_H-M_alt 'P 63/m m c'
_space_group_IT_number 194
_space_group_name_Hall '-P 6c 2c'
_cell_length_a 10.1209
_cell_length_b 10.1209
_cell_length_c 11.6664
_cell_angle_alpha 90.00
_cell_angle_beta 90.00
_cell_angle_gamma 120.00
loop_
_atom_site_label
_atom_site_fract_x
_atom_site_fract_y
_atom_site_fract_z
La1 0.0790 0.5395 0.2500
La2 0.2073 0.4146 0.5309
Pr1 0.0000 0.0000 0.0000
Pr2 0.1147 0.2295 0.2500
Ho1 0.3333 0.6667 0.7500